# 1
Here is crystalline HfPdAu at its relaxed geometry from the Alexandria database. Energies are from GGA-PBE.

Calculated values
E above lowest polymorph, meV/atom: 273
Crystal system: orthorhombic
VASP energy, eV/atom: -6.64
Calculated formation energy, meV per atom: -502
SG: Cmcm, No. 63

Unit cell a=4.6513 b=4.6601 c=5.7340 alpha=90.00 beta=90.00 gamma=119.94
Fractional positions:
1 Hf 0.5000 0.0000 0.5000
2 Pd 0.8340 0.6680 0.2500
3 Au 0.8331 0.6661 0.7500
4 Pd 0.1660 0.3320 0.7500
5 Au 0.1669 0.3339 0.2500
6 Hf 0.5000 0.0000 0.0000

# 2
Here is crystalline La7Ru2Pb2 at its relaxed geometry from the Alexandria database. Energies are from GGA-PBE.

Calculated values
E above lowest polymorph, meV/atom: 54
Crystal system: orthorhombic
VASP energy, eV/atom: -5.81
Calculated formation energy, meV per atom: -312
SG: Cmmm, No. 65

Unit cell a=7.2244 b=7.3041 c=7.2244 alpha=90.00 beta=108.93 gamma=90.00
Fractional positions:
1 Ru 0.2685 0.0000 0.7315
2 La 0.5000 0.7505 0.0001
3 Ru 0.7315 0.0000 0.2685
4 La 0.5000 0.2083 0.5000
5 La 0.0000 0.0000 0.0000
6 Pb 0.1870 0.5000 0.1870
7 La 0.5000 0.2495 0.9999
8 La 0.0001 0.2495 0.5000
9 Pb 0.8130 0.5000 0.8130
10 La 0.5000 0.7917 0.5000
11 La 0.9999 0.7505 0.5000

# 3
Here is crystalline YZr3Ga2 at its relaxed geometry from the Alexandria database. Energies are from GGA-PBE.

Calculated values
Crystal system: monoclinic
VASP energy, eV/atom: -6.71
Calculated formation energy, meV per atom: -354
SG: C2/m, No. 12

Unit cell a=4.1770 b=9.4476 c=8.5013 alpha=123.55 beta=90.00 gamma=102.77
Fractional positions:
1 Zr 0.6897 0.3794 0.4970
2 Zr 0.0555 0.1110 0.4313
3 Y 0.8817 0.7633 0.9050
4 Zr 0.3608 0.7215 0.2093
5 Y 0.1183 0.2367 0.0950
6 Ga 0.5085 0.0170 0.1645
7 Ga 0.7602 0.5205 0.2248
8 Zr 0.9445 0.8890 0.5687
9 Zr 0.3103 0.6206 0.5030
10 Ga 0.2398 0.4795 0.7752
11 Ga 0.4915 0.9830 0.8355
12 Zr 0.6392 0.2785 0.7907

# 4
Here is crystalline AcSbH2Rh2 at its relaxed geometry from the Alexandria database. Energies are from GGA-PBE.

Calculated values
Crystal system: monoclinic
VASP energy, eV/atom: -5.42
SG: P2_1/m, No. 11

Unit cell a=5.7288 b=5.5163 c=6.9998 alpha=102.81 beta=90.00 gamma=90.00
Fractional positions:
1 H 0.7500 0.7816 0.6248
2 H 0.2500 0.2184 0.3752
3 Rh 0.0001 0.8350 0.7840
4 Ac 0.7500 0.2821 0.6417
5 Ac 0.2500 0.7179 0.3583
6 Sb 0.7500 0.7609 0.0819
7 Rh 0.9999 0.1650 0.2160
8 Sb 0.2500 0.2391 0.9181
9 Rh 0.4999 0.8350 0.7840
10 Rh 0.5001 0.1650 0.2160
11 H 0.2500 0.6513 0.7094
12 H 0.7500 0.3487 0.2906

# 5
Here is crystalline SrBe3H8 at its relaxed geometry from the Alexandria database. Energies are from GGA-PBE.

Calculated values
Crystal system: trigonal
VASP energy, eV/atom: -3.48
SG: R-3, No. 148

Unit cell a=4.2638 b=4.2638 c=6.7612 alpha=71.62 beta=71.62 gamma=60.00
Fractional positions:
1 H 0.8114 0.8114 0.5658
2 H 0.6296 0.9793 0.1551
3 Be 0.7347 0.7347 0.7959
4 Be 0.2653 0.2653 0.2041
5 Sr 0.5000 0.5000 0.5000
6 H 0.0207 0.7640 0.8449
7 H 0.9793 0.2360 0.1551
8 H 0.2360 0.6296 0.1551
9 H 0.7640 0.3704 0.8449
10 H 0.1886 0.1886 0.4342
11 Be 0.0000 0.0000 0.0000
12 H 0.3704 0.0207 0.8449

# 6
Here is crystalline BeTeO3 at its relaxed geometry from the Alexandria database. Energies are from GGA-PBE.

Calculated values
Formation energy without anion corrections, eV per atom: -0.1149
Crystal system: cubic
VASP energy, eV/atom: -4.46
SG: Pm-3m, No. 221

Unit cell a=4.0384 b=4.0384 c=4.0384 alpha=90.00 beta=90.00 gamma=90.00
Fractional positions:
1 O 0.0000 0.5000 0.0000
2 O 0.5000 0.0000 0.0000
3 Te 0.0000 0.0000 0.0000
4 O 0.0000 0.0000 0.5000
5 Be 0.5000 0.5000 0.5000

# 7
Here is crystalline MgReSn2 at its relaxed geometry from the Alexandria database. Energies are from GGA-PBE.

Calculated values
Crystal system: trigonal
VASP energy, eV/atom: -4.85
Calculated formation energy, meV per atom: 663
SG: R-3m, No. 166

Unit cell a=3.0022 b=3.0022 c=11.2123 alpha=82.31 beta=82.31 gamma=60.00
Fractional positions:
1 Sn 0.9158 0.9158 0.2526
2 Sn 0.0842 0.0842 0.7474
3 Mg 0.5000 0.5000 0.5000
4 Re 0.0000 0.0000 0.0000

# 8
Here is crystalline LaCuP2O at its relaxed geometry from the Alexandria database. Energies are from GGA-PBE.

Calculated values
Formation energy without anion corrections, eV per atom: 0.3791
E above lowest polymorph, meV/atom: 889
Crystal system: tetragonal
VASP energy, eV/atom: -4.58
SG: P4/mmm, No. 123

Unit cell a=5.7611 b=5.7611 c=4.1276 alpha=90.00 beta=90.00 gamma=90.00
Fractional positions:
1 O 0.0000 0.0000 0.5000
2 La 0.0000 0.0000 0.0000
3 P 0.5000 0.0000 0.0000
4 P 0.0000 0.5000 0.0000
5 Cu 0.5000 0.5000 0.5000

| no. | density of states at the Fermi level (states/eV/f.u.) |
| --- | --- |
| 1 | 3.2 |
| 2 | 10.7 |
| 3 | 4.9 |
| 4 | 2.7 |
| 5 | 0.0 |
| 6 | 1.7 |
| 7 | 2.9 |
| 8 | 5.0 |